8
Lattice="4.2369 0.0000 0.0000 0.0000 4.2688 -0.0990 0.0000 -1.9387 8.3787" Properties=species:S:1:pos:R:3 comment="CeSi2Pt | Alexandria | GGA-PBE | relaxed" crystal_system=orthorhombic final_energy_ha_per_atom=-0.2462 e_form_raw_ev_per_atom=-0.994 vol_a3_per_atom=18.8 pbc="T T T"
Ce 1.0592 0.1558 6.6108
Ce 3.1777 2.1743 1.6690
Si 1.0592 0.0123 0.5749
Si 3.1777 2.3178 7.7048
Si 3.1777 0.0977 4.1820
Si 1.0592 2.2324 4.0977
Pt 3.1777 2.2593 5.2997
Pt 1.0592 0.0708 2.9800



16
Lattice="-2.1384 0.9501 3.8446 -1.6622 -5.1035 -2.2977 11.4648 -7.4320 8.2133" Properties=species:S:1:pos:R:3 comment="Ce5SiPt2 | Alexandria | GGA-PBE | relaxed" crystal_system=orthorhombic final_energy_ha_per_atom=-0.2413 e_form_raw_ev_per_atom=-0.670 vol_a3_per_atom=24.2 pbc="T T T"
Pt 2.5048 -5.1049 5.2891
Pt 5.1594 -6.4805 4.4711
Pt 9.3606 -9.2040 7.4809
Pt -1.6965 -2.3814 2.2793
Ce -1.4412 -4.5053 0.3118
Ce 3.7224 -7.8998 6.6570
Ce 9.1053 -7.0801 9.4484
Ce 5.1343 -4.5059 6.6036
Ce 2.5299 -7.0795 3.1566
Ce 7.4878 -7.4563 6.0073
Ce 3.9418 -3.6856 3.1032
Ce 6.8385 -9.9198 8.8894
Ce 0.1764 -4.1291 3.7529
Ce 0.8257 -1.6656 0.8708
Si 1.7609 -1.4441 3.9707
Si 5.9033 -10.1413 5.7895



20
Lattice="5.7895 0.0000 0.0000 2.8948 8.3239 -1.0087 2.8948 1.2364 8.2932" Properties=species:S:1:pos:R:3 comment="Ce3Si2Pt5 | Alexandria | GGA-PBE | relaxed" crystal_system=orthorhombic final_energy_ha_per_atom=-0.2444 e_form_raw_ev_per_atom=-0.766 vol_a3_per_atom=20.3 pbc="T T T"
Ce 2.8948 2.2431 4.7789
Ce 5.7895 5.2028 0.8945
Ce 4.3421 0.0000 0.0000
Ce 8.6843 7.3172 2.5056
Ce 5.7895 4.3575 6.3899
Ce 1.4474 0.0000 0.0000
Pt 7.2369 7.2214 5.5023
Pt 2.8948 4.6051 1.1852
Pt 4.3421 2.3389 1.7821
Pt 5.7895 2.3647 4.1255
Pt 4.3421 4.7802 3.6422
Pt 5.7895 7.1956 3.1590
Pt 10.1316 7.2214 5.5023
Pt 1.4474 2.3389 1.7821
Pt 8.6843 4.9552 6.0993
Pt 7.2369 4.7802 3.6422
Si 5.7895 7.1222 7.5580
Si 8.6843 9.1771 4.8612
Si 2.8948 0.3833 2.4233
Si 5.7895 2.4381 -0.2736